First-principles (PBEsol) data for TlTcWAu2 after structural relaxation, as listed in Alexandria.

CIF file:
```
data_TlTcWAu2
_cell_length_a 4.902
_cell_length_b 4.902
_cell_length_c 4.979
_cell_angle_alpha 90.00
_cell_angle_beta 90.00
_cell_angle_gamma 90.00
_symmetry_space_group_name_H-M 'P 4/m m m'
_symmetry_Int_Tables_number 123
_symmetry_space_group_name_Hall '-P 4 2'
loop_
_atom_site_label
_atom_site_type_symbol
_atom_site_fract_x
_atom_site_fract_y
_atom_site_fract_z
Tl1 Tl 0.000 0.000 0.000
Tc1 Tc 0.000 0.000 0.500
W1 W 0.500 0.500 0.500
Au1 Au 0.000 0.500 0.000
```

Computed properties:
Formation energy ... 12.8 eV per formula unit